Record 1
Computed, not measured: CaMg2S after structural relaxation at the PBE level of DFT.

Results
M_tot in μB per atom: 0.0000
DOS at the Fermi energy in states/eV/cell: 0.00
Volume in Å³/cell: 202
Mass density in g cm⁻³: 2.0
VASP energy in eV/cell: -23.77
Energy relative to the elements, uncorrected in eV per formula unit: -2.6

a = 6.6100 Å, b = 6.6100 Å, c = 6.6100 Å
α = 100.55°, β = 100.55°, γ = 129.34°
Last column: nearest neighbours and their distance in Å.
Atoms (fractional coordinates):
Ca (0.0000, 0.0000, 0.0000)  2 S 2.83
Ca (0.7500, 0.2500, 0.5000)  2 S 2.83
Mg (0.1967, 0.1250, 0.5717)  2 S 2.69
Mg (0.3750, 0.8033, 0.9283)  2 S 2.69
Mg (0.5533, 0.6250, 0.4283)  2 S 2.69
Mg (0.8750, 0.4467, 0.0717)  2 S 2.69
S (0.2500, 0.7500, 0.5000)  4 Mg 2.69, 2 Ca 2.83
S (0.5000, 0.5000, 0.0000)  4 Mg 2.69, 2 Ca 2.83

Record 2
Computed, not measured: CaZrH4 after structural relaxation at the PBE level of DFT.

Results
M_tot in μB per atom: 0.0000
DOS at the Fermi energy in states/eV/cell: 1.71
Volume in Å³/cell: 64
Mass density in g cm⁻³: 3.5
VASP energy in eV/cell: -27.20

a = 3.4841 Å, b = 3.4841 Å, c = 5.2395 Å
α = 90.00°, β = 90.00°, γ = 90.00°
Last column: nearest neighbours and their distance in Å.
Atoms (fractional coordinates):
Ca (0.0000, 0.0000, 0.0000)  8 H 2.28
Zr (0.5000, 0.5000, 0.5000)  8 H 2.09
H (0.0000, 0.5000, 0.2803)  2 Zr 2.09, 2 Ca 2.28, 1 H 2.30
H (0.0000, 0.5000, 0.7197)  2 Zr 2.09, 2 Ca 2.28, 1 H 2.30
H (0.5000, 0.0000, 0.2803)  2 Zr 2.09, 2 Ca 2.28, 1 H 2.30
H (0.5000, 0.0000, 0.7197)  2 Zr 2.09, 2 Ca 2.28, 1 H 2.30

Record 3
Computed, not measured: IrRuSe2 after structural relaxation at the PBE level of DFT.

Results
M_tot in μB per atom: 0.1119
DOS at the Fermi energy in states/eV/cell: 4.02
Volume in Å³/cell: 66
Mass density in g cm⁻³: 11.4
VASP energy in eV/cell: -21.91
Energy relative to the elements, uncorrected in eV per formula unit: 3.2
Relative energy among the computed polymorphs in eV/f.u.: 3.00

a = 4.5287 Å, b = 4.5287 Å, c = 4.5287 Å
α = 60.00°, β = 60.00°, γ = 60.00°
Last column: nearest neighbours and their distance in Å.
Atoms (fractional coordinates):
Ir (0.0000, 0.0000, 0.0000)  4 Se 2.77, 4 Ru 2.77
Ru (0.2500, 0.2500, 0.2500)  4 Se 2.77, 4 Ir 2.77
Se (0.5000, 0.5000, 0.5000)  4 Se 2.77, 4 Ru 2.77
Se (0.7500, 0.7500, 0.7500)  4 Ir 2.77, 4 Se 2.77

Record 4
Computed, not measured: Ce4Ir2Pb after structural relaxation at the PBE level of DFT.

Results
M_tot in μB per atom: 0.3613
DOS at the Fermi energy in states/eV/cell: 40.73
Volume in Å³/cell: 394
Mass density in g cm⁻³: 9.7
VASP energy in eV/cell: -98.09
E_form in eV per formula unit: -3.88

a = 6.9598 Å, b = 6.9598 Å, c = 13.8490 Å
α = 90.00°, β = 90.00°, γ = 144.02°
Last column: nearest neighbours and their distance in Å.
Atoms (fractional coordinates):
Ce (0.0000, 0.0000, 0.0000)  4 Ir 2.86
Ce (0.0000, 0.0000, 0.5000)  4 Ir 2.86
Ce (0.2645, 0.7355, 0.6117)  3 Ir 2.75-2.90
Ce (0.2645, 0.7355, 0.8883)  3 Ir 2.75-2.90
Ce (0.4298, 0.5702, 0.2500)  2 Ir 2.76
Ce (0.5702, 0.4298, 0.7500)  2 Ir 2.76
Ce (0.7355, 0.2645, 0.1117)  3 Ir 2.75-2.90
Ce (0.7355, 0.2645, 0.3883)  3 Ir 2.75-2.90
Ir (0.3715, 0.6285, 0.0586)  6 Ce 2.75-2.90
Ir (0.3715, 0.6285, 0.4414)  6 Ce 2.75-2.90
Ir (0.6285, 0.3715, 0.5586)  6 Ce 2.75-2.90
Ir (0.6285, 0.3715, 0.9414)  6 Ce 2.75-2.90
Pb (0.1128, 0.8872, 0.2500)  6 Ce 3.24-3.31
Pb (0.8872, 0.1128, 0.7500)  6 Ce 3.24-3.31

Record 5
Computed, not measured: NaRe after structural relaxation at the PBE level of DFT.

Results
M_tot in μB per atom: 0.0000
DOS at the Fermi energy in states/eV/cell: 11.42
Volume in Å³/cell: 303
Mass density in g cm⁻³: 9.2
VASP energy in eV/cell: -97.67
Relative energy among the computed polymorphs in eV/f.u.: 0.15
E_form in eV per formula unit: 1.56

a = 10.7275 Å, b = 10.7275 Å, c = 2.6296 Å
α = 90.00°, β = 90.00°, γ = 90.00°
Last column: nearest neighbours and their distance in Å.
Atoms (fractional coordinates):
Na (0.0327, 0.8052, 0.0000)  2 Na 2.63
Na (0.1948, 0.0327, 0.0000)  2 Na 2.63
Na (0.2112, 0.3037, 0.5000)  2 Na 2.63
Na (0.3037, 0.7888, 0.5000)  2 Na 2.63
Na (0.6963, 0.2112, 0.5000)  2 Na 2.63
Na (0.7888, 0.6963, 0.5000)  2 Na 2.63
Na (0.8052, 0.9673, 0.0000)  2 Na 2.63
Na (0.9673, 0.1948, 0.0000)  2 Na 2.63
Re (0.0991, 0.5593, 0.5000)  3 Re 2.48-2.63
Re (0.3342, 0.5258, 0.0000)  4 Re 2.55-2.63
Re (0.4407, 0.0991, 0.5000)  3 Re 2.48-2.63
Re (0.4742, 0.3342, 0.0000)  4 Re 2.55-2.63
Re (0.5258, 0.6658, 0.0000)  4 Re 2.55-2.63
Re (0.5593, 0.9009, 0.5000)  3 Re 2.48-2.63
Re (0.6658, 0.4742, 0.0000)  4 Re 2.55-2.63
Re (0.9009, 0.4407, 0.5000)  3 Re 2.48-2.63

Record 6
Computed, not measured: Y2AlOsC after structural relaxation at the PBE level of DFT.

Results
M_tot in μB per atom: 0.0000
DOS at the Fermi energy in states/eV/cell: 2.07
Volume in Å³/cell: 96
Mass density in g cm⁻³: 7.0
VASP energy in eV/cell: -38.99
E_form in eV per formula unit: -1.87

a = 4.9556 Å, b = 4.9556 Å, c = 3.9225 Å
α = 90.00°, β = 90.00°, γ = 90.00°
Last column: nearest neighbours and their distance in Å.
Atoms (fractional coordinates):
Y (0.0000, 0.5000, 0.0000)  2 C 2.48
Y (0.5000, 0.0000, 0.0000)  2 C 2.48
Al (0.0000, 0.0000, 0.5000)  8 Y 3.16, 4 Os 3.50
Os (0.5000, 0.5000, 0.5000)  2 C 1.96
C (0.5000, 0.5000, 0.0000)  2 Os 1.96

Record 7
Computed, not measured: LaNbSb2I after structural relaxation at the PBE level of DFT.

Results
M_tot in μB per atom: 0.5887
DOS at the Fermi energy in states/eV/cell: 8.90
Volume in Å³/cell: 219
Mass density in g cm⁻³: 4.6
VASP energy in eV/cell: -20.21
Energy relative to the elements, uncorrected in eV per formula unit: 4.6
Relative energy among the computed polymorphs in eV/f.u.: 5.14

a = 6.0423 Å, b = 6.0423 Å, c = 6.0077 Å
α = 90.00°, β = 90.00°, γ = 90.00°
Last column: nearest neighbours and their distance in Å.
Atoms (fractional coordinates):
La (0.0000, 0.0000, 0.0000)  2 I 3.00, 4 Sb 3.02
Nb (0.5000, 0.5000, 0.5000)  8 Sb 4.26, 4 I 4.27
Sb (0.0000, 0.5000, 0.0000)  2 La 3.02
Sb (0.5000, 0.0000, 0.0000)  2 La 3.02
I (0.0000, 0.0000, 0.5000)  2 La 3.00

Record 8
Computed, not measured: DyTh3Os8 after structural relaxation at the PBE level of DFT.

Results
M_tot in μB per atom: 0.0000
DOS at the Fermi energy in states/eV/cell: 6.45
Volume in Å³/cell: 227
Mass density in g cm⁻³: 17.4
VASP energy in eV/cell: -119.79
E_form in eV per formula unit: -3.09

a = 9.4303 Å, b = 9.4303 Å, c = 9.4303 Å
α = 33.49°, β = 33.49°, γ = 33.49°
Last column: nearest neighbours and their distance in Å.
Atoms (fractional coordinates):
Dy (0.0000, 0.0000, 0.0000)  12 Os 3.17-3.18, 4 Th 3.31-3.33
Th (0.1240, 0.1240, 0.1240)  12 Os 3.19-3.24, 1 Dy 3.31, 3 Th 3.33
Th (0.4994, 0.4994, 0.4994)  12 Os 3.18-3.21, 4 Th 3.33-3.35
Th (0.6251, 0.6251, 0.6251)  12 Os 3.15-3.19, 3 Dy 3.33, 1 Th 3.35
Os (0.0588, 0.5624, 0.5624)  6 Os 2.69-2.75
Os (0.0626, 0.0626, 0.5648)  6 Os 2.70-2.73
Os (0.0626, 0.5648, 0.0626)  6 Os 2.70-2.73
Os (0.3130, 0.3130, 0.3130)  6 Os 2.69-2.72
Os (0.5624, 0.0588, 0.5624)  6 Os 2.69-2.75
Os (0.5624, 0.5624, 0.0588)  6 Os 2.69-2.75
Os (0.5648, 0.0626, 0.0626)  6 Os 2.70-2.73
Os (0.8126, 0.8126, 0.8126)  6 Os 2.73-2.75